# TmScBr3

Crystalline TmScBr3 at its relaxed geometry (PBE-GGA, the Alexandria database).

Summary:
Total moment = 0.000 μB/atom
Density = 4.802 g/cm3
Formation energy from raw total energies = -1.433 eV/atom

a = 18.3382 Å, b = 3.7349 Å, c = 11.2207 Å
α = 90.00°, β = 125.27°, γ = 90.00°
Closest atoms and distances in Å follow each position.
Space group C2/m (No. 12)
Unique sites:
Tm  0.1322  0.0000  0.2785 [4 per cell]  5 Br 2.80-2.99
Sc  0.0654  0.5000  0.9613 [4 per cell]  4 Br 2.79-2.81, 1 Sc 2.99
Br  0.0313  0.0000  0.7503 [4 per cell]  2 Sc 2.79, 1 Tm 2.83
Br  0.1688  0.5000  0.5067 [4 per cell]  3 Tm 2.92-2.99
Br  0.2041  0.0000  0.1156 [4 per cell]  1 Tm 2.80, 2 Sc 2.81